TbAl2Au3, relaxed, DFT PBE; DOS(E_F) = 6.6 states/eV/cell; excess energy over the best structure of this formula in the dataset = 0 meV per atom; energy of formation from the pure elements = -622 meV per atom
1.0
4.2411 0.0000 0.0000
-2.1205 8.0560 -2.6826
0.0000 -0.0107 10.3573
Tb Au Al
3 9 6
direct
0.8463 0.6926 0.3098
0.1537 0.3074 0.6902
0.0000 0.0000 0.0000
0.5000 0.0000 0.5000
0.3843 0.7685 0.8215
0.2223 0.4445 0.3801
0.3278 0.6555 0.0496
0.7777 0.5555 0.6199
0.6157 0.2315 0.1785
0.0407 0.0814 0.3346
0.9593 0.9186 0.6654
0.6722 0.3445 0.9504
0.7992 0.5985 0.8766
0.2008 0.4015 0.1234
0.3615 0.7231 0.5570
0.4672 0.9345 0.2257
0.5328 0.0655 0.7743
0.6385 0.2769 0.4430